BC3: relaxed, PBE.

Properties
offset from the most stable computed form = 0.029 eV/atom
total energy = -8.3178 eV per atom
calculated volume = 73.11 Å³/cell
ΔH_f (0 K) = 269 meV per atom

Geometry as POSCAR:
```
BC3
1.0
-4.044 -0.727 -1.421
-2.928 -3.013 -1.120
1.017 1.506 7.678
C B
9 3
Direct
0.017 0.017 0.991
0.324 0.324 0.673
0.851 0.851 0.022
0.161 0.161 0.713
0.814 0.814 0.554
0.184 0.184 0.205
0.672 0.672 0.832
0.982 0.982 0.521
0.509 0.509 0.871
0.366 0.366 0.153
0.471 0.471 0.398
0.650 0.650 0.318
```